(1)
The following is a DFT calculation (GGA-PBE) of an optimized crystal structure of Ho3Re2Si4.

Cell lengths 4.1902, 5.7569, 8.0977 Å; angles 108.47, 90.00, 111.34 degrees
Closest atoms and distances in Å follow each position.
Atoms (fractional coordinates):
1 Ho 0.6220 0.2440 0.6991  7 Si 2.86-3.04, 4 Re 3.08-3.12
2 Ho 0.0000 0.0000 0.0000  8 Si 3.01-3.33
3 Ho 0.3780 0.7560 0.3009  7 Si 2.86-3.04, 4 Re 3.08-3.12
4 Re 0.6795 0.3590 0.3518  4 Si 2.39-2.49
5 Re 0.3205 0.6410 0.6482  4 Si 2.39-2.49
6 Si 0.7136 0.4271 0.0750  1 Re 2.39, 2 Si 2.67
7 Si 0.2864 0.5729 0.9250  1 Re 2.39, 2 Si 2.67
8 Si 0.9043 0.8086 0.5813  3 Re 2.41-2.49
9 Si 0.0957 0.1914 0.4187  3 Re 2.41-2.49

Summary:
For the raw formation energy, the calculation gives -617 meV/atom. The value obtained for the total energy is -7.320 eV/atom. The value obtained for the mass density is 9.51 g/cm³.



(2)
The following is a DFT calculation (GGA-PBE) of an optimized crystal structure of Be2NbSbBr.

Cell lengths 4.8716, 5.3604, 4.8716 Å; angles 90.00, 90.00, 90.00 degrees
Closest atoms and distances in Å follow each position.
Atoms (fractional coordinates):
1 Sb 0.0000 0.5000 0.0000  2 Nb 2.68
2 Nb 0.0000 0.0000 0.0000  4 Be 2.44, 2 Sb 2.68
3 Br 0.5000 0.5000 0.5000  4 Sb 3.44, 8 Be 3.62
4 Be 0.0000 0.0000 0.5000  2 Nb 2.44
5 Be 0.5000 0.0000 0.0000  2 Nb 2.44

Summary:
For the raw formation energy, the calculation gives 1158 meV/atom. The value obtained for the total energy is -3.506 eV/atom. The value obtained for the mass density is 4.08 g/cm³.



(3)
The following is a DFT calculation (GGA-PBE) of an optimized crystal structure of GaAgHgCl4.

Cell lengths 7.3946, 7.3946, 12.0988 Å; angles 58.01, 58.01, 59.94 degrees
Closest atoms and distances in Å follow each position.
Atoms (fractional coordinates):
1 Ga 0.7270 0.7270 0.6887  4 Cl 2.17-2.26
2 Ga 0.2730 0.2730 0.3113  4 Cl 2.17-2.26
3 Ag 0.1325 0.1325 0.8796  2 Cl 2.65, 2 Hg 2.81, 1 Ag 2.81
4 Ag 0.8675 0.8675 0.1204  2 Cl 2.65, 2 Hg 2.81, 1 Ag 2.81
5 Hg 0.0715 0.0715 0.1453  2 Ag 2.81
6 Hg 0.9285 0.9285 0.8547  2 Ag 2.81
7 Cl 0.1829 0.1829 0.5325  1 Ga 2.17
8 Cl 0.8171 0.8171 0.4675  1 Ga 2.17
9 Cl 0.9593 0.4310 0.2629  1 Ga 2.26
10 Cl 0.4870 0.4870 0.1747  1 Ga 2.17
11 Cl 0.5690 0.0407 0.7371  1 Ga 2.26
12 Cl 0.4310 0.9593 0.2629  1 Ga 2.26
13 Cl 0.5130 0.5130 0.8253  1 Ga 2.17
14 Cl 0.0407 0.5690 0.7371  1 Ga 2.26

Summary:
For the raw formation energy, the calculation gives -792 meV/atom. The value obtained for the total energy is -2.730 eV/atom. The value obtained for the mass density is 3.81 g/cm³.



Q: Which total magnetic moment values were calculated for the entries above? A: 0.00, 1.91, 0.00, in μB/f.u..